# 1
DFT (PBE) results for crystalline KLaAg2Br8 at its relaxed geometry.

Summary:
Uncorrected formation energy (meV per atom): -982
M_tot (μB/f.u.): 0.00

Structure (CIF):
```
data_KLaAg2Br8
_cell_length_a 9.199
_cell_length_b 9.199
_cell_length_c 9.199
_cell_angle_alpha 133.42
_cell_angle_beta 133.42
_cell_angle_gamma 68.00
_symmetry_space_group_name_H-M 'P 1'
_symmetry_Int_Tables_number 1
loop_
_symmetry_equiv_pos_as_xyz
'x,y,z'
loop_
_atom_site_label
_atom_site_fract_x
_atom_site_fract_y
_atom_site_fract_z
_atom_site_occupancy
K1 0.000 0.000 0.000 1
La1 0.250 0.750 0.500 1
Ag1 0.500 0.500 0.000 1
Ag2 0.750 0.250 0.500 1
Br1 0.273 0.705 0.149 1
Br2 0.295 0.444 0.568 1
Br3 0.399 0.017 0.044 1
Br4 0.556 0.124 0.851 1
Br5 0.645 0.601 0.619 1
Br6 0.876 0.727 0.432 1
Br7 0.973 0.355 0.956 1
Br8 0.983 0.027 0.381 1
```


# 2
DFT (PBE) results for crystalline KLaAgBr6 at its relaxed geometry.

Summary:
Uncorrected formation energy (meV per atom): -1302
M_tot (μB/f.u.): 1.12

Structure (CIF):
```
data_KLaAgBr6
_cell_length_a 7.397
_cell_length_b 7.397
_cell_length_c 14.595
_cell_angle_alpha 90.00
_cell_angle_beta 90.00
_cell_angle_gamma 120.00
_symmetry_space_group_name_H-M 'P 1'
_symmetry_Int_Tables_number 1
loop_
_symmetry_equiv_pos_as_xyz
'x,y,z'
loop_
_atom_site_label
_atom_site_fract_x
_atom_site_fract_y
_atom_site_fract_z
_atom_site_occupancy
K1 0.000 0.000 0.000 1
K2 0.000 0.000 0.500 1
La1 0.333 0.667 0.250 1
La2 0.667 0.333 0.750 1
Ag1 0.333 0.667 0.750 1
Ag2 0.667 0.333 0.250 1
Br1 0.016 0.378 0.635 1
Br2 0.016 0.638 0.865 1
Br3 0.362 0.378 0.865 1
Br4 0.362 0.984 0.635 1
Br5 0.378 0.016 0.135 1
Br6 0.378 0.362 0.365 1
Br7 0.622 0.638 0.635 1
Br8 0.622 0.984 0.865 1
Br9 0.638 0.016 0.365 1
Br10 0.638 0.622 0.135 1
Br11 0.984 0.362 0.135 1
Br12 0.984 0.622 0.365 1
```


# 3
DFT (PBE) results for crystalline K3LiAg2Br6 at its relaxed geometry.

Summary:
Uncorrected formation energy (meV per atom): -1109
M_tot (μB/f.u.): 0.00

Structure (CIF):
```
data_K3LiAg2Br6
_cell_length_a 8.138
_cell_length_b 8.138
_cell_length_c 8.341
_cell_angle_alpha 90.00
_cell_angle_beta 90.00
_cell_angle_gamma 120.00
_symmetry_space_group_name_H-M 'P 1'
_symmetry_Int_Tables_number 1
loop_
_symmetry_equiv_pos_as_xyz
'x,y,z'
loop_
_atom_site_label
_atom_site_fract_x
_atom_site_fract_y
_atom_site_fract_z
_atom_site_occupancy
K1 0.000 0.000 0.000 1
K2 0.333 0.667 0.620 1
K3 0.667 0.333 0.380 1
Li1 0.000 0.000 0.500 1
Ag1 0.333 0.667 0.220 1
Ag2 0.667 0.333 0.780 1
Br1 0.155 0.309 0.294 1
Br2 0.155 0.845 0.294 1
Br3 0.309 0.155 0.706 1
Br4 0.691 0.845 0.294 1
Br5 0.845 0.155 0.706 1
Br6 0.845 0.691 0.706 1
```


# 4
DFT (PBE) results for crystalline K2LiAgBr5 at its relaxed geometry.

Summary:
Uncorrected formation energy (meV per atom): -1162
M_tot (μB/f.u.): 0.01

Structure (CIF):
```
data_K2LiAgBr5
_cell_length_a 10.587
_cell_length_b 10.587
_cell_length_c 12.444
_cell_angle_alpha 90.00
_cell_angle_beta 90.00
_cell_angle_gamma 156.31
_symmetry_space_group_name_H-M 'P 1'
_symmetry_Int_Tables_number 1
loop_
_symmetry_equiv_pos_as_xyz
'x,y,z'
loop_
_atom_site_label
_atom_site_fract_x
_atom_site_fract_y
_atom_site_fract_z
_atom_site_occupancy
K1 0.106 0.894 0.500 1
K2 0.121 0.879 0.869 1
K3 0.879 0.121 0.369 1
K4 0.894 0.106 0.000 1
Li1 0.228 0.772 0.178 1
Li2 0.772 0.228 0.678 1
Ag1 0.406 0.594 0.665 1
Ag2 0.594 0.406 0.165 1
Br1 0.032 0.968 0.251 1
Br2 0.298 0.702 0.536 1
Br3 0.317 0.683 0.820 1
Br4 0.347 0.653 0.182 1
Br5 0.478 0.522 0.493 1
Br6 0.522 0.478 0.993 1
Br7 0.653 0.347 0.682 1
Br8 0.683 0.317 0.320 1
Br9 0.702 0.298 0.036 1
Br10 0.968 0.032 0.751 1
```


# 5
DFT (PBE) results for crystalline KMg3Ag4Br12 at its relaxed geometry.

Summary:
Uncorrected formation energy (meV per atom): -904
M_tot (μB/f.u.): 0.00

Structure (CIF):
```
data_KMg3Ag4Br12
_cell_length_a 9.206
_cell_length_b 9.206
_cell_length_c 9.206
_cell_angle_alpha 107.12
_cell_angle_beta 107.12
_cell_angle_gamma 107.12
_symmetry_space_group_name_H-M 'P 1'
_symmetry_Int_Tables_number 1
loop_
_symmetry_equiv_pos_as_xyz
'x,y,z'
loop_
_atom_site_label
_atom_site_fract_x
_atom_site_fract_y
_atom_site_fract_z
_atom_site_occupancy
K1 0.000 0.000 0.000 1
Mg1 0.000 0.578 0.422 1
Mg2 0.422 0.000 0.578 1
Mg3 0.578 0.422 0.000 1
Ag1 0.103 0.500 0.897 1
Ag2 0.500 0.500 0.500 1
Ag3 0.500 0.897 0.103 1
Ag4 0.897 0.103 0.500 1
Br1 0.021 0.665 0.736 1
Br2 0.086 0.914 0.500 1
Br3 0.264 0.335 0.979 1
Br4 0.323 0.677 0.500 1
Br5 0.335 0.979 0.264 1
Br6 0.500 0.086 0.914 1
Br7 0.500 0.323 0.677 1
Br8 0.665 0.736 0.021 1
Br9 0.677 0.500 0.323 1
Br10 0.736 0.021 0.665 1
Br11 0.914 0.500 0.086 1
Br12 0.979 0.264 0.335 1
```


# 6
DFT (PBE) results for crystalline KMg2AgBr6 at its relaxed geometry.

Summary:
Uncorrected formation energy (meV per atom): -1265
M_tot (μB/f.u.): 0.00

Structure (CIF):
```
data_KMg2AgBr6
_cell_length_a 10.051
_cell_length_b 10.051
_cell_length_c 7.834
_cell_angle_alpha 104.43
_cell_angle_beta 104.43
_cell_angle_gamma 88.46
_symmetry_space_group_name_H-M 'P 1'
_symmetry_Int_Tables_number 1
loop_
_symmetry_equiv_pos_as_xyz
'x,y,z'
loop_
_atom_site_label
_atom_site_fract_x
_atom_site_fract_y
_atom_site_fract_z
_atom_site_occupancy
K1 0.116 0.884 0.750 1
K2 0.884 0.116 0.250 1
Mg1 0.235 0.386 0.797 1
Mg2 0.386 0.235 0.297 1
Mg3 0.614 0.765 0.703 1
Mg4 0.765 0.614 0.203 1
Ag1 0.226 0.774 0.250 1
Ag2 0.774 0.226 0.750 1
Br1 0.049 0.201 0.679 1
Br2 0.137 0.613 0.921 1
Br3 0.201 0.049 0.179 1
Br4 0.314 0.430 0.528 1
Br5 0.387 0.863 0.579 1
Br6 0.430 0.314 0.028 1
Br7 0.570 0.686 0.972 1
Br8 0.613 0.137 0.421 1
Br9 0.686 0.570 0.472 1
Br10 0.799 0.951 0.821 1
Br11 0.863 0.387 0.079 1
Br12 0.951 0.799 0.321 1
```


# 7
DFT (PBE) results for crystalline K4Mn3AgBr12 at its relaxed geometry.

Summary:
Uncorrected formation energy (meV per atom): -1081
M_tot (μB/f.u.): 14.00

Structure (CIF):
```
data_K4Mn3AgBr12
_cell_length_a 9.282
_cell_length_b 9.282
_cell_length_c 9.282
_cell_angle_alpha 109.47
_cell_angle_beta 109.47
_cell_angle_gamma 109.47
_symmetry_space_group_name_H-M 'P 1'
_symmetry_Int_Tables_number 1
loop_
_symmetry_equiv_pos_as_xyz
'x,y,z'
loop_
_atom_site_label
_atom_site_fract_x
_atom_site_fract_y
_atom_site_fract_z
_atom_site_occupancy
K1 0.000 0.000 0.500 1
K2 0.000 0.500 0.000 1
K3 0.500 0.000 0.000 1
K4 0.500 0.500 0.500 1
Mn1 0.000 0.500 0.500 1
Mn2 0.500 0.000 0.500 1
Mn3 0.500 0.500 0.000 1
Ag1 0.000 0.000 0.000 1
Br1 0.000 0.262 0.262 1
Br2 0.000 0.738 0.738 1
Br3 0.250 0.500 0.750 1
Br4 0.250 0.750 0.500 1
Br5 0.262 0.000 0.262 1
Br6 0.262 0.262 0.000 1
Br7 0.500 0.250 0.750 1
Br8 0.500 0.750 0.250 1
Br9 0.738 0.000 0.738 1
Br10 0.738 0.738 0.000 1
Br11 0.750 0.250 0.500 1
Br12 0.750 0.500 0.250 1
```


# 8
DFT (PBE) results for crystalline K3MnAg2Br9 at its relaxed geometry.

Summary:
Uncorrected formation energy (meV per atom): -955
M_tot (μB/f.u.): 3.45

Structure (CIF):
```
data_K3MnAg2Br9
_cell_length_a 7.615
_cell_length_b 7.615
_cell_length_c 9.320
_cell_angle_alpha 90.00
_cell_angle_beta 90.00
_cell_angle_gamma 120.00
_symmetry_space_group_name_H-M 'P 1'
_symmetry_Int_Tables_number 1
loop_
_symmetry_equiv_pos_as_xyz
'x,y,z'
loop_
_atom_site_label
_atom_site_fract_x
_atom_site_fract_y
_atom_site_fract_z
_atom_site_occupancy
K1 0.000 0.000 0.000 1
K2 0.333 0.667 0.697 1
K3 0.667 0.333 0.303 1
Mn1 0.000 0.000 0.500 1
Ag1 0.333 0.667 0.172 1
Ag2 0.667 0.333 0.828 1
Br1 0.000 0.500 0.000 1
Br2 0.158 0.316 0.343 1
Br3 0.158 0.842 0.343 1
Br4 0.316 0.158 0.657 1
Br5 0.500 0.000 0.000 1
Br6 0.500 0.500 0.000 1
Br7 0.684 0.842 0.343 1
Br8 0.842 0.158 0.657 1
Br9 0.842 0.684 0.657 1
```


# 9
DFT (PBE) results for crystalline KMn2AgBr6 at its relaxed geometry.

Summary:
Uncorrected formation energy (meV per atom): -869
M_tot (μB/f.u.): 10.00

Structure (CIF):
```
data_KMn2AgBr6
_cell_length_a 9.993
_cell_length_b 9.993
_cell_length_c 7.832
_cell_angle_alpha 104.62
_cell_angle_beta 104.62
_cell_angle_gamma 87.95
_symmetry_space_group_name_H-M 'P 1'
_symmetry_Int_Tables_number 1
loop_
_symmetry_equiv_pos_as_xyz
'x,y,z'
loop_
_atom_site_label
_atom_site_fract_x
_atom_site_fract_y
_atom_site_fract_z
_atom_site_occupancy
K1 0.119 0.881 0.750 1
K2 0.881 0.119 0.250 1
Mn1 0.236 0.383 0.796 1
Mn2 0.383 0.236 0.296 1
Mn3 0.617 0.764 0.704 1
Mn4 0.764 0.617 0.204 1
Ag1 0.226 0.774 0.250 1
Ag2 0.774 0.226 0.750 1
Br1 0.049 0.200 0.679 1
Br2 0.136 0.609 0.922 1
Br3 0.200 0.049 0.179 1
Br4 0.309 0.431 0.526 1
Br5 0.391 0.864 0.578 1
Br6 0.431 0.309 0.026 1
Br7 0.569 0.691 0.974 1
Br8 0.609 0.136 0.422 1
Br9 0.691 0.569 0.474 1
Br10 0.800 0.951 0.821 1
Br11 0.864 0.391 0.078 1
Br12 0.951 0.800 0.321 1
```


Number 1: calculated volume 403.6 Å³ per cell. Number 2: calculated volume 691.6 Å³ per cell. Number 3: calculated volume 478.4 Å³ per cell. Number 4: calculated volume 560.6 Å³ per cell. Number 5: calculated volume 647.7 Å³ per cell. Number 6: calculated volume 741.7 Å³ per cell. Number 7: calculated volume 615.6 Å³ per cell. Number 8: calculated volume 468.0 Å³ per cell. Number 9: calculated volume 732.0 Å³ per cell.